1.
The following is a DFT calculation (PBE-GGA) of an optimized crystal structure of ErNi3Ir2. Values from VASP.

Computed properties:
symmetry = R-3m
DOS(E_F) = 13.18 states/eV per cell
final energy = -6.83 eV/atom
energy of formation = -221 meV per atom

```
&SYSTEM
  ibrav = 0, nat = 12, ntyp = 3
/
ATOMIC_SPECIES
Er 167.26 Er.upf
Ni 58.69 Ni.upf
Ir 192.22 Ir.upf
ATOMIC_POSITIONS angstrom
Er 0.000 0.000 4.234
Er 0.000 0.000 15.509
Ni -1.268 -0.732 11.045
Ni 0.000 -1.464 8.698
Ni -1.268 0.732 8.698
Ni 1.268 -0.732 11.046
Ni 0.000 1.464 11.046
Ni 1.268 0.732 8.698
Ir 0.000 0.000 0.000
Ir -1.370 -0.791 6.581
Ir -1.370 0.791 13.162
Ir 0.000 1.582 6.581
CELL_PARAMETERS angstrom
2.739 1.582 6.581
-2.739 1.582 6.581
0.000 -3.163 6.581
```

***

2.
The following is a DFT calculation (PBE-GGA) of an optimized crystal structure of La5Nd2Y2. Values from VASP.

Computed properties:
excess energy over the best structure of this formula in the dataset = 0.00 kcal/mol of atoms
symmetry = P-1
DOS(E_F) = 16.86 states/eV per cell
final energy = -5.22 eV/atom
energy of formation = 18 meV per atom

```
&SYSTEM
  ibrav = 0, nat = 9, ntyp = 3
/
ATOMIC_SPECIES
La 138.91 La.upf
Nd 144.24 Nd.upf
Y 88.91 Y.upf
ATOMIC_POSITIONS angstrom
La 0.000 0.000 0.000
La 1.836 2.619 9.187
La 1.851 2.621 1.837
La 3.679 5.242 14.673
La 3.695 5.244 7.324
Nd 1.848 2.619 5.470
Nd 3.683 5.244 11.041
Y 1.828 2.621 12.817
Y 3.703 5.242 3.693
CELL_PARAMETERS angstrom
3.697 0.000 0.000
0.007 5.246 0.000
1.827 2.617 16.510
```